VCl2O2, relaxed, DFT PBE with a Hubbard U; volume = 21.40 Å³ per atom; crystal system = tetragonal; spin magnetization = 2.003 μB/cell; energy relative to the lowest polymorph listed for this composition = 0 meV/atom
1.0
5.302 0.000 0.000
0.000 5.302 0.000
0.000 0.000 7.613
V Cl O
2 4 4
direct
0.000 0.000 0.000 V
0.500 0.500 0.000 V
0.134 0.366 0.500 Cl
0.366 0.866 0.500 Cl
0.634 0.134 0.500 Cl
0.866 0.634 0.500 Cl
0.248 0.748 0.000 O
0.252 0.248 0.000 O
0.748 0.752 0.000 O
0.752 0.252 0.000 O